Run a
Here is an optimized crystal structure of HfTi4Bi from Alexandria via LeMat-Bulk. Energies are from PBE.

Cell lengths 10.044, 3.802, 6.356 Å; angles 90.00, 107.92, 90.00 degrees
Space group C2/m (No. 12)
One atom of each set of equivalent atoms:
Hf1 0.000 0.000 0.000
Ti1 0.176 0.500 0.330
Ti2 0.177 0.500 0.848
Bi1 0.000 0.000 0.500

Values from the calculation:
N(E_F): 12.4 states/eV/cell
Calculated density: 8326 kg/m3


Run b
Here is an optimized crystal structure of HfTi4Bi from Alexandria via LeMat-Bulk. Energies are from PBE.

Cell lengths 7.783, 7.783, 7.783 Å; angles 90.00, 90.00, 90.00 degrees
Space group F-43m (No. 216)
One atom of each set of equivalent atoms:
Hf1 0.000 0.000 0.000
Ti1 0.129 0.129 0.629
Bi1 0.250 0.250 0.250

Values from the calculation:
N(E_F): 36.6 states/eV/cell
Calculated density: 8155 kg/m3


Run c
Here is an optimized crystal structure of HfTi4Bi from Alexandria via LeMat-Bulk. Energies are from PBE.

Cell lengths 6.994, 7.357, 18.163 Å; angles 90.00, 90.00, 90.00 degrees
Space group Fmmm (No. 69)
One atom of each set of equivalent atoms:
Hf1 0.000 0.219 0.000
Ti1 0.000 0.243 0.164
Ti2 0.217 0.000 0.418
Bi1 0.250 0.000 0.250

Values from the calculation:
N(E_F): 52.8 states/eV/cell
Calculated density: 8229 kg/m3


What should be chosen as the least stable of them? Choose run b.


Run a
Here is an optimized crystal structure of HfTi2Bi2 from Alexandria via LeMat-Bulk. Energies are from PBE.

Cell lengths 7.826, 7.826, 3.583 Å; angles 90.00, 90.00, 90.00 degrees
Space group P4/mbm (No. 127)
One atom of each set of equivalent atoms:
Hf1 0.000 0.000 0.000
Ti1 0.144 0.356 0.500
Bi1 0.151 0.651 0.000

Values from the calculation:
N(E_F): 6.2 states/eV/cell
Calculated density: 10475 kg/m3


Run b
Here is an optimized crystal structure of HfTi2Bi2 from Alexandria via LeMat-Bulk. Energies are from PBE.

Cell lengths 7.799, 7.799, 3.639 Å; angles 90.00, 90.00, 90.00 degrees
Space group P4/mbm (No. 127)
One atom of each set of equivalent atoms:
Hf1 0.000 0.000 0.000
Ti1 0.125 0.375 0.000
Bi1 0.172 0.672 0.500

Values from the calculation:
N(E_F): 11.2 states/eV/cell
Calculated density: 10384 kg/m3


What should be chosen as the least stable of them? Choose run b.


Run a
Here is an optimized crystal structure of Hf3TlBi from Alexandria via LeMat-Bulk. Energies are from PBE.

Cell lengths 17.497, 16.371, 3.398 Å; angles 90.00, 93.32, 90.00 degrees
Space group C2/c (No. 15)
One atom of each set of equivalent atoms:
Hf1 0.071 0.076 0.050
Hf2 0.144 0.412 0.768
Hf3 0.168 0.254 0.239
Tl1 0.000 0.239 0.750
Tl2 0.000 0.413 0.250
Bi1 0.214 0.100 0.676

Values from the calculation:
N(E_F): 23.7 states/eV/cell
Calculated density: 12971 kg/m3


Run b
Here is an optimized crystal structure of Hf3TlBi from Alexandria via LeMat-Bulk. Energies are from PBE.

Cell lengths 5.369, 5.369, 5.369 Å; angles 90.00, 90.00, 90.00 degrees
Space group Pm-3m (No. 221)
One atom of each set of equivalent atoms:
Hf1 0.000 0.000 0.500
Tl1 0.500 0.500 0.500
Bi1 0.000 0.000 0.000

Values from the calculation:
N(E_F): 7.4 states/eV/cell
Calculated density: 10180 kg/m3


Run c
Here is an optimized crystal structure of Hf3TlBi from Alexandria via LeMat-Bulk. Energies are from PBE.

Cell lengths 5.296, 5.296, 5.296 Å; angles 90.00, 90.00, 90.00 degrees
Space group Pm-3m (No. 221)
One atom of each set of equivalent atoms:
Hf1 0.000 0.000 0.500
Tl1 0.000 0.000 0.000
Bi1 0.500 0.500 0.500

Values from the calculation:
N(E_F): 9.1 states/eV/cell
Calculated density: 10605 kg/m3


What should be chosen as the least stable of them? Choose run b.


Run a
Here is an optimized crystal structure of Hf2TlBi from Alexandria via LeMat-Bulk. Energies are from PBE.

Cell lengths 6.248, 6.248, 14.384 Å; angles 90.00, 90.00, 90.00 degrees
Space group I-42d (No. 122)
One atom of each set of equivalent atoms:
Hf1 0.228 0.250 0.125
Tl1 0.000 0.000 0.000
Bi1 0.000 0.000 0.500

Values from the calculation:
N(E_F): 1.0 states/eV/cell
Calculated density: 9113 kg/m3


Run b
Here is an optimized crystal structure of Hf2TlBi from Alexandria via LeMat-Bulk. Energies are from PBE.

Cell lengths 3.3055, 3.3055, 30.5581 Å; angles 90.00, 90.00, 120.00 degrees
Space group R3m (No. 160, hexagonal axes)
One atom of each set of equivalent atoms:
Hf1 0.0000 0.0000 0.0000
Hf2 0.0000 0.0000 0.1661
Tl1 0.0000 0.0000 0.4164
Bi1 0.0000 0.0000 0.5829

Values from the calculation:
N(E_F): 12.9 states/eV/cell
Calculated density: 13271 kg/m3


What should be chosen as the least stable of them? Choose run a.


Run a
Here is an optimized crystal structure of Hf2TlBi2 from Alexandria via LeMat-Bulk. Energies are from PBE.

Cell lengths 8.582, 8.582, 3.701 Å; angles 90.00, 90.00, 90.00 degrees
Space group P4/mbm (No. 127)
One atom of each set of equivalent atoms:
Hf1 0.129 0.371 0.000
Tl1 0.000 0.000 0.500
Bi1 0.156 0.656 0.500

Values from the calculation:
N(E_F): 9.4 states/eV/cell
Calculated density: 11930 kg/m3


Run b
Here is an optimized crystal structure of Hf2TlBi2 from Alexandria via LeMat-Bulk. Energies are from PBE.

Cell lengths 8.043, 8.043, 3.977 Å; angles 90.00, 90.00, 90.00 degrees
Space group P4/mbm (No. 127)
One atom of each set of equivalent atoms:
Hf1 0.141 0.359 0.000
Tl1 0.000 0.000 0.000
Bi1 0.155 0.655 0.500

Values from the calculation:
N(E_F): 5.9 states/eV/cell
Calculated density: 12642 kg/m3


What should be chosen as the least stable of them? Choose run a.


Run a
Here is an optimized crystal structure of Tm2HfBi from Alexandria via LeMat-Bulk. Energies are from PBE.

Cell lengths 3.909, 3.909, 7.015 Å; angles 90.00, 90.00, 90.00 degrees
Space group P4/mmm (No. 123)
One atom of each set of equivalent atoms:
Tm1 0.000 0.000 0.248
Hf1 0.500 0.500 0.500
Bi1 0.500 0.500 0.000

Values from the calculation:
N(E_F): 4.8 states/eV/cell
Calculated density: 11237 kg/m3


Run b
Here is an optimized crystal structure of Tm2HfBi from Alexandria via LeMat-Bulk. Energies are from PBE.

Cell lengths 3.4715, 3.4715, 31.4691 Å; angles 90.00, 90.00, 120.00 degrees
Space group R-3m (No. 166, hexagonal axes)
One atom of each set of equivalent atoms:
Tm1 0.0000 0.0000 0.2478
Hf1 0.0000 0.0000 0.5000
Bi1 0.0000 0.0000 0.0000

Values from the calculation:
N(E_F): 14.9 states/eV/cell
Calculated density: 11002 kg/m3


What should be chosen as the least stable of them? Choose run b.


Run a
Here is an optimized crystal structure of TmHfBi2 from Alexandria via LeMat-Bulk. Energies are from PBE.

Cell lengths 4.2335, 4.2335, 22.2461 Å; angles 90.00, 90.00, 120.00 degrees
Space group R3m (No. 160, hexagonal axes)
One atom of each set of equivalent atoms:
Tm1 0.0000 0.0000 0.0000
Hf1 0.0000 0.0000 0.1717
Bi1 0.0000 0.0000 0.5799
Bi2 0.0000 0.0000 0.7576

Values from the calculation:
N(E_F): 9.5 states/eV/cell
Calculated density: 11042 kg/m3


Run b
Here is an optimized crystal structure of TmHfBi2 from Alexandria via LeMat-Bulk. Energies are from PBE.

Cell lengths 3.4537, 3.4537, 33.5746 Å; angles 90.00, 90.00, 120.00 degrees
Space group R-3m (No. 166, hexagonal axes)
One atom of each set of equivalent atoms:
Tm1 0.0000 0.0000 0.0000
Hf1 0.0000 0.0000 0.5000
Bi1 0.0000 0.0000 0.0949

Values from the calculation:
N(E_F): 10.1 states/eV/cell
Calculated density: 10994 kg/m3


What should be chosen as the least stable of them? Choose run b.


Run a
Here is an optimized crystal structure of Hf2UBi from Alexandria via LeMat-Bulk. Energies are from PBE.

Cell lengths 3.713, 3.713, 6.787 Å; angles 90.00, 90.00, 90.00 degrees
Space group P4/mmm (No. 123)
One atom of each set of equivalent atoms:
Hf1 0.000 0.000 0.239
U1 0.500 0.500 0.000
Bi1 0.500 0.500 0.500

Values from the calculation:
N(E_F): 7.9 states/eV/cell
Calculated density: 14268 kg/m3


Run b
Here is an optimized crystal structure of Hf2UBi from Alexandria via LeMat-Bulk. Energies are from PBE.

Cell lengths 3.3088, 3.3088, 30.6838 Å; angles 90.00, 90.00, 120.00 degrees
Space group R-3m (No. 166, hexagonal axes)
One atom of each set of equivalent atoms:
Hf1 0.0000 0.0000 0.2493
U1 0.0000 0.0000 0.5000
Bi1 0.0000 0.0000 0.0000

Values from the calculation:
N(E_F): 21.8 states/eV/cell
Calculated density: 13767 kg/m3


Run c
Here is an optimized crystal structure of Hf2UBi from Alexandria via LeMat-Bulk. Energies are from PBE.

Cell lengths 4.738, 4.738, 4.143 Å; angles 90.00, 90.00, 90.00 degrees
Space group P4/mmm (No. 123)
One atom of each set of equivalent atoms:
Hf1 0.000 0.500 0.000
U1 0.000 0.000 0.500
Bi1 0.500 0.500 0.500

Values from the calculation:
N(E_F): 7.7 states/eV/cell
Calculated density: 14353 kg/m3


What should be chosen as the least stable of them? Choose run b.


Run a
Here is an optimized crystal structure of Hf2BiW2 from Alexandria via LeMat-Bulk. Energies are from PBE.

Cell lengths 3.707, 3.707, 16.338 Å; angles 90.00, 90.00, 90.00 degrees
Space group I4/mmm (No. 139)
One atom of each set of equivalent atoms:
Hf1 0.000 0.000 0.113
Bi1 0.000 0.000 0.500
W1 0.000 0.500 0.250

Values from the calculation:
N(E_F): 9.5 states/eV/cell
Calculated density: 13813 kg/m3


Run b
Here is an optimized crystal structure of Hf2BiW2 from Alexandria via LeMat-Bulk. Energies are from PBE.

Cell lengths 8.114, 8.114, 3.287 Å; angles 90.00, 90.00, 90.00 degrees
Space group P4/mbm (No. 127)
One atom of each set of equivalent atoms:
Hf1 0.140 0.360 0.000
Bi1 0.000 0.000 0.000
W1 0.141 0.641 0.500

Values from the calculation:
N(E_F): 14.6 states/eV/cell
Calculated density: 14329 kg/m3


What should be chosen as the least stable of them? Choose run b.


Run a
Here is an optimized crystal structure of HfBiW3 from Alexandria via LeMat-Bulk. Energies are from PBE.

Cell lengths 4.904, 4.904, 4.904 Å; angles 90.00, 90.00, 90.00 degrees
Space group Pm-3m (No. 221)
One atom of each set of equivalent atoms:
Hf1 0.000 0.000 0.000
Bi1 0.500 0.500 0.500
W1 0.000 0.000 0.500

Values from the calculation:
N(E_F): 5.4 states/eV/cell
Calculated density: 13218 kg/m3


Run b
Here is an optimized crystal structure of HfBiW3 from Alexandria via LeMat-Bulk. Energies are from PBE.

Cell lengths 4.958, 4.958, 4.958 Å; angles 90.00, 90.00, 90.00 degrees
Space group Pm-3m (No. 221)
One atom of each set of equivalent atoms:
Hf1 0.000 0.000 0.000
Bi1 0.500 0.500 0.500
W1 0.000 0.500 0.500

Values from the calculation:
N(E_F): 6.9 states/eV/cell
Calculated density: 12792 kg/m3


What should be chosen as the least stable of them? Choose run b.


Run a
Here is an optimized crystal structure of Hf3BiW from Alexandria via LeMat-Bulk. Energies are from PBE.

Cell lengths 5.101, 5.101, 5.101 Å; angles 90.00, 90.00, 90.00 degrees
Space group Pm-3m (No. 221)
One atom of each set of equivalent atoms:
Hf1 0.000 0.000 0.500
Bi1 0.500 0.500 0.500
W1 0.000 0.000 0.000

Values from the calculation:
N(E_F): 11.4 states/eV/cell
Calculated density: 11613 kg/m3


Run b
Here is an optimized crystal structure of Hf3BiW from Alexandria via LeMat-Bulk. Energies are from PBE.

Cell lengths 5.194, 5.194, 5.194 Å; angles 90.00, 90.00, 90.00 degrees
Space group Pm-3m (No. 221)
One atom of each set of equivalent atoms:
Hf1 0.000 0.000 0.500
Bi1 0.000 0.000 0.000
W1 0.500 0.500 0.500

Values from the calculation:
N(E_F): 5.2 states/eV/cell
Calculated density: 10998 kg/m3


What should be chosen as the least stable of them? Choose run b.